Version w
VASP calculation (PBE) on crystalline ScTcI2 at its relaxed geometry.

Calculated values
Crystal system: tetragonal
Space-group type: I-42d
Spin magnetization, Bohr magnetons per cell: 0.000

Unit cell a=5.018 b=5.018 c=9.137 alpha=74.06 beta=74.06 gamma=90.00
Sites, in units of the cell vectors:
1 I 0.647 0.125 0.250
2 I 0.103 0.625 0.250
3 I 0.375 0.353 0.750
4 I 0.875 0.897 0.750
5 Sc 0.500 0.500 0.000
6 Sc 0.250 0.750 0.500
7 Tc 0.000 0.000 0.000
8 Tc 0.750 0.250 0.500

---

Version x
VASP calculation (PBE) on crystalline ScTcI2 at its relaxed geometry.

Calculated values
Crystal system: cubic
Space-group type: Fm-3m
Spin magnetization, Bohr magnetons per cell: 2.075

Unit cell a=5.018 b=5.018 c=5.018 alpha=60.00 beta=60.00 gamma=60.00
Last column: magnetic moment on the atom in μB.
Sites, in units of the cell vectors:
1 I 0.250 0.250 0.250  0.06
2 I 0.750 0.750 0.750  0.06
3 Sc 0.000 0.000 0.000  -0.04
4 Tc 0.500 0.500 0.500  1.80

---

Short version: version x, version w, most stable first.